PrNdCd | GGA-PBE | optimized geometry

Energy of formation from the pure elements   -0.24 eV/f.u.

Lattice parameters (Å, degrees): 3.4411 8.4591 6.3945 90.00 90.00 90.00
Sites, in units of the cell vectors:
Pr: 0.0000 0.8876 0.2500
Pr: 0.0000 0.1124 0.7500
Nd: 0.0000 0.5000 0.5000
Nd: 0.0000 0.5000 0.0000
Cd: 0.5000 0.2166 0.2500
Cd: 0.5000 0.7834 0.7500

Nd3RhBr2 | GGA-PBE | optimized geometry

Uncorrected formation energy   -102.9 kJ per mole of atoms

Lattice parameters (Å, degrees): 3.9950 6.0876 8.0978 112.08 104.28 90.00
Each line ends with the local moment (μB).
Sites, in units of the cell vectors:
Br: 0.6810 0.1810 0.3619  0.00
Br: 0.3190 0.8190 0.6381  0.00
Nd: 0.0000 0.0000 0.0000  0.15
Nd: 0.6294 0.6294 0.2587  0.01
Nd: 0.3706 0.3706 0.7413  0.01
Rh: 0.0000 0.5000 0.0000  0.01

YMn5B3 | GGA-PBE | optimized geometry

Energy of formation from the pure elements   -2.10 eV/f.u.

Lattice parameters (Å, degrees): 3.3394 5.9639 10.5318 90.00 90.00 106.26
Each line ends with the local moment (μB).
Sites, in units of the cell vectors:
Mn: 0.1934 0.3867 0.9441  1.04
Mn: 0.1934 0.3867 0.5559  1.04
Mn: 0.4495 0.8990 0.3513  0.74
Mn: 0.8066 0.6133 0.0559  1.04
Mn: 0.5505 0.1010 0.8513  0.74
Mn: 0.0000 0.0000 0.0000  -1.32
Mn: 0.0000 0.0000 0.5000  -1.32
Mn: 0.8066 0.6133 0.4441  1.04
Mn: 0.5505 0.1010 0.6487  0.74
Mn: 0.4495 0.8990 0.1487  0.74
B: 0.3784 0.7567 0.5496  -0.03
B: 0.3784 0.7567 0.9504  -0.03
B: 0.1368 0.2736 0.7500  -0.07
B: 0.6216 0.2433 0.0496  -0.03
B: 0.8632 0.7264 0.2500  -0.07
B: 0.6216 0.2433 0.4504  -0.03
Y: 0.1685 0.3371 0.2500  -0.04
Y: 0.8315 0.6629 0.7500  -0.04

ReTe2WI | GGA-PBE | optimized geometry

Uncorrected formation energy   163.7 kJ per mole of atoms

Lattice parameters (Å, degrees): 5.2702 5.2702 5.6758 90.00 90.00 90.00
Each line ends with the local moment (μB).
Sites, in units of the cell vectors:
Te: 0.0000 0.5000 0.0000  0.00
Te: 0.5000 0.0000 0.0000  0.00
Re: 0.5000 0.5000 0.5000  4.06
I: 0.0000 0.0000 0.5000  0.04
W: 0.0000 0.0000 0.0000  -0.75

TiTc2HRh | GGA-PBE | optimized geometry

E   -8.082 eV per atom

Lattice parameters (Å, degrees): 3.8615 3.8615 4.0938 90.00 90.00 90.00
Sites, in units of the cell vectors:
Tc: 0.0000 0.5000 0.0000
Tc: 0.5000 0.0000 0.0000
Ti: 0.0000 0.0000 0.5000
H: 0.0000 0.0000 0.0000
Rh: 0.5000 0.5000 0.5000

Number 1: density of states at the Fermi level 1.25 states/eV/atom. Number 2: density of states at the Fermi level 0.72 states/eV/atom. Number 3: density of states at the Fermi level 0.90 states/eV/atom. Number 4: density of states at the Fermi level 0.66 states/eV/atom. Number 5: density of states at the Fermi level 1.30 states/eV/atom.